Record 1
Here is a relaxed structure of AlWSeS2 from Alexandria via LeMat-Bulk. Energies are from GGA-PBE.

Output
ΔE_f (raw) ... 0.08 eV per atom
Uncorrected energy ... -0.412 Ry per atom

abc: 4.640 4.640 5.189
angles: 90.00 90.00 90.00
Space group P4/mmm (No. 123)
Inequivalent atoms, fractional coordinates:
Al 0.000 0.000 0.000 (multiplicity 1)
W 0.500 0.500 0.500 (multiplicity 1)
Se 0.500 0.500 0.000 (multiplicity 1)
S 0.000 0.500 0.500 (multiplicity 2)



Record 2
Here is a relaxed structure of Y4AlSe2S from Alexandria via LeMat-Bulk. Energies are from GGA-PBE.

Output
ΔE_f (raw) ... -1.45 eV per atom
Uncorrected energy ... -0.481 Ry per atom

abc: 7.148 3.984 7.206
angles: 90.00 108.57 90.00
Space group P2/m (No. 10)
Inequivalent atoms, fractional coordinates:
Y 0.243 0.000 0.235 (multiplicity 2)
Y 0.247 0.500 0.753 (multiplicity 2)
Al 0.500 0.000 0.000 (multiplicity 1)
Se 0.000 0.000 0.500 (multiplicity 1)
Se 0.500 0.500 0.500 (multiplicity 1)
S 0.000 0.500 0.000 (multiplicity 1)